No. 1
This record from Alexandria describes a relaxed Ni3Rh4W crystal. The functional is GGA-PBE.

Computed properties:
Offset from the most stable computed form ... 0.000 eV per atom
Size of the total moment ... 0.0 μB/cell
N(E_F) ... 12.50 states/eV/f.u.
Symmetry ... Pmma, No. 51

a b c (Å): 4.5382 5.4425 8.5944
angles (deg): 90.00 90.00 90.00
Last column: nearest neighbours and their distance in Å.
Atoms (fractional coordinates):
Ni 0.3560 0.5000 0.2500  8 Rh 2.63-2.68, 2 W 2.69, 2 Ni 2.72
Ni 0.3471 0.0000 0.2500  8 Rh 2.58-2.67, 4 Ni 2.66-2.72
Ni 0.0000 0.0000 0.5000  8 Rh 2.60-2.64, 2 Ni 2.66, 2 W 2.72
Ni 0.6440 0.5000 0.7500  8 Rh 2.63-2.68, 2 W 2.69, 2 Ni 2.72
Ni 0.6529 0.0000 0.7500  8 Rh 2.58-2.67, 4 Ni 2.66-2.72
Ni 0.0000 0.0000 0.0000  8 Rh 2.60-2.64, 2 Ni 2.66, 2 W 2.72
Rh 0.5000 0.2486 0.0000  6 Ni 2.63-2.64, 2 W 2.65, 4 Rh 2.70-2.74
Rh 0.5000 0.2486 0.5000  6 Ni 2.63-2.64, 2 W 2.65, 4 Rh 2.70-2.74
Rh 0.8587 0.2419 0.2500  6 Ni 2.58-2.68, 4 Rh 2.63-2.81, 2 W 2.65
Rh 0.1413 0.7581 0.7500  6 Ni 2.58-2.68, 4 Rh 2.63-2.81, 2 W 2.65
Rh 0.1413 0.2419 0.7500  6 Ni 2.58-2.68, 4 Rh 2.63-2.81, 2 W 2.65
Rh 0.5000 0.7514 0.0000  6 Ni 2.63-2.64, 2 W 2.65, 4 Rh 2.70-2.74
Rh 0.5000 0.7514 0.5000  6 Ni 2.63-2.64, 2 W 2.65, 4 Rh 2.70-2.74
Rh 0.8587 0.7581 0.2500  6 Ni 2.58-2.68, 4 Rh 2.63-2.81, 2 W 2.65
W 0.0000 0.5000 0.5000  8 Rh 2.65, 4 Ni 2.69-2.72
W 0.0000 0.5000 0.0000  8 Rh 2.65, 4 Ni 2.69-2.72


No. 2
This record from Alexandria describes a relaxed CaThZn3 crystal. The functional is GGA-PBE.

Computed properties:
Size of the total moment ... 0.0 μB/cell
N(E_F) ... 4.47 states/eV/f.u.
Symmetry ... Cmcm, No. 63

a b c (Å): 3.6802 4.5728 13.9143
angles (deg): 90.00 97.60 90.00
Last column: nearest neighbours and their distance in Å.
Atoms (fractional coordinates):
Th 0.9286 0.7500 0.8573  12 Zn 3.20-3.24
Th 0.0714 0.2500 0.1427  12 Zn 3.20-3.24
Zn 0.4765 0.2500 0.9531  3 Zn 2.59-2.63
Zn 0.6679 0.2500 0.3358  2 Zn 2.68
Zn 0.6175 0.7500 0.2350  3 Zn 2.59-2.68
Zn 0.3321 0.7500 0.6642  2 Zn 2.68
Zn 0.5235 0.7500 0.0469  3 Zn 2.59-2.63
Zn 0.3825 0.2500 0.7650  3 Zn 2.59-2.68
Ca 0.7931 0.2500 0.5862  6 Zn 3.08-3.13
Ca 0.2069 0.7500 0.4138  6 Zn 3.08-3.13


No. 3
This record from Alexandria describes a relaxed AsCl6 crystal. The functional is GGA-PBE.

Computed properties:
Formation energy (no corrections) ... -231 meV/atom
Size of the total moment ... 4.6 μB/cell
N(E_F) ... 11.52 states/eV/f.u.
Symmetry ... Pnma, No. 62

a b c (Å): 6.5831 10.9923 13.0421
angles (deg): 90.00 90.00 90.00
Last column: nearest neighbours and their distance in Å.
Atoms (fractional coordinates):
Cl 0.2618 0.3958 0.5439  1 As 2.27
Cl 0.6553 0.2500 0.0128  1 As 2.27
Cl 0.4261 0.6043 0.7783  1 As 2.27
Cl 0.7382 0.8958 0.4561  1 As 2.27
Cl 0.3428 0.2500 0.7527  1 As 2.27
Cl 0.9261 0.1043 0.7217  1 As 2.27
Cl 0.2382 0.1042 0.0439  1 As 2.27
Cl 0.9261 0.3957 0.7217  1 As 2.27
Cl 0.6572 0.7500 0.2473  1 As 2.27
Cl 0.5739 0.1043 0.2217  1 As 2.27
Cl 0.3447 0.7500 0.9872  1 As 2.27
Cl 0.8447 0.2500 0.5128  1 As 2.27
Cl 0.0739 0.6043 0.2783  1 As 2.27
Cl 0.7618 0.6042 0.9561  1 As 2.27
Cl 0.7618 0.8958 0.9561  1 As 2.27
Cl 0.1572 0.2500 0.2527  1 As 2.27
Cl 0.8428 0.7500 0.7473  1 As 2.27
Cl 0.4261 0.8957 0.7783  1 As 2.27
Cl 0.1553 0.7500 0.4872  1 As 2.27
Cl 0.5739 0.3957 0.2217  1 As 2.27
Cl 0.2382 0.3958 0.0439  1 As 2.27
Cl 0.0739 0.8957 0.2783  1 As 2.27
Cl 0.2618 0.1042 0.5439  1 As 2.27
Cl 0.7382 0.6042 0.4561  1 As 2.27
As 0.5939 0.7500 0.8673  6 Cl 2.27
As 0.0939 0.2500 0.6327  6 Cl 2.27
As 0.4061 0.2500 0.1327  6 Cl 2.27
As 0.9061 0.7500 0.3673  6 Cl 2.27


No. 4
This record from Alexandria describes a relaxed InTcAs4 crystal. The functional is GGA-PBE.

Computed properties:
Size of the total moment ... 2.7 μB/cell
N(E_F) ... 5.47 states/eV/f.u.
Symmetry ... F-43m, No. 216

a b c (Å): 5.5724 5.5724 5.5724
angles (deg): 60.00 60.00 60.00
Last column: nearest neighbours and their distance in Å.
Atoms (fractional coordinates):
Tc 0.0000 0.0000 0.0000  12 As 3.27, 4 In 3.41
In 0.7500 0.7500 0.7500  12 As 3.27, 4 Tc 3.41
As 0.3753 0.3753 0.8741  6 As 2.78-2.79
As 0.8741 0.3753 0.3753  6 As 2.78-2.79
As 0.3753 0.3753 0.3753  6 As 2.78-2.79
As 0.3753 0.8741 0.3753  6 As 2.78-2.79


E_tot / eV per atom: -7.536 -2.893 -2.478 -4.562